# GGA-PBE RbWAu, optimized geometry
data_RbWAu
_cell_length_a 7.200
_cell_length_b 7.200
_cell_length_c 7.200
_cell_angle_alpha 90.00
_cell_angle_beta 90.00
_cell_angle_gamma 90.00
_space_group_name_H-M_alt 'F -4 3 m'
_space_group_IT_number 216
_space_group_name_Hall 'F -4 2 3'
loop_
_atom_site_label
_atom_site_fract_x
_atom_site_fract_y
_atom_site_fract_z
_atom_site_occupancy
Rb1 0.000 0.000 0.000 1
W1 0.000 0.000 0.500 1
Au1 0.250 0.250 0.250 1
# calculated volume = 93 Å³/f.u.
# polymorph energy (0 for the lowest one) = 0.0 meV/atom